Ta3TlNi PBE-GGA optimized geometry; ΔE to the lowest computed polymorph = 1.906 eV per atom; DFT formation energy = 2.721 eV per atom; total magnetic moment = 2.0 μB/f.u.; energy = -6.0199 eV/atom; symmetry = No. 221; crystal system = cubic
1.0
-4.4998 2.1280 0.8434
-0.2369 -2.2831 4.4966
2.2767 3.9682 2.1348
Ni Ta Tl
1 3 1
direct
0.5000 0.5000 0.5000
0.0000 0.5000 0.0000
0.5000 0.0000 0.0000
0.0000 0.0000 0.5000
0.0000 0.0000 0.0000